# LuTlIn2, optimized geometry, DFT PBE
# ΔH_f (0 K) ... -0.259 eV/atom
# Total DFT energy (no corrections) ... -3.350 eV per atom
# ρ ... 10.02 g/cm3
data_LuTlIn2
_space_group_name_H-M_alt 'P 4/m m m'
_space_group_IT_number 123
_space_group_name_Hall '-P 4 2'
_cell_length_a 4.626
_cell_length_b 4.626
_cell_length_c 4.715
_cell_angle_alpha 90.00
_cell_angle_beta 90.00
_cell_angle_gamma 90.00
loop_
_atom_site_label
_atom_site_fract_x
_atom_site_fract_y
_atom_site_fract_z
Lu1 0.000 0.000 0.000
Tl1 0.500 0.500 0.000
In1 0.000 0.500 0.500